[1]
## LaAlCu (GGA-PBE)

Data for a relaxed structure of LaAlCu.

a = 4.9675 Å, b = 7.4407 Å, c = 8.5315 Å
α = 84.42°, β = 73.07°, γ = 70.50°
Fractional positions:
Cu 0.3860 0.6427 0.5853
Cu 0.9713 0.6427 0.4147
Cu 0.6140 0.3573 0.4147
Cu 0.0287 0.3573 0.5853
Al 0.2057 0.0000 0.5886
Al 0.0935 0.8129 0.0000
Al 0.9065 0.1871 0.0000
Al 0.7943 0.0000 0.4114
La 0.7521 0.7303 0.7656
La 0.4823 0.2697 0.7656
La 0.5177 0.7303 0.2344
La 0.2479 0.2697 0.2344

Output
VASP energy in eV/cell: -52.19
M_tot in μB/cell: 0.00
Space group: Fmmm



[2]
## LaAl2Cu9 (GGA-PBE)

Data for a relaxed structure of LaAl2Cu9.

a = 6.6667 Å, b = 7.9683 Å, c = 7.9683 Å
α = 79.92°, β = 65.27°, γ = 65.27°
Fractional positions:
Cu 0.4364 0.8318 0.4151
Cu 0.0668 0.9151 0.3318
Cu 0.7500 0.5000 0.5000
Cu 0.0182 0.6682 0.9151
Cu 0.4364 0.4151 0.8318
Cu 0.0000 0.0000 0.0000
Cu 0.1486 0.4151 0.1682
Cu 0.3136 0.6682 0.0849
Cu 0.0668 0.3318 0.9151
Cu 0.7318 0.8318 0.5849
Cu 0.7318 0.5849 0.8318
Cu 0.6014 0.0849 0.3318
Cu 0.1486 0.1682 0.4151
Cu 0.6832 0.5849 0.1682
Cu 0.0182 0.9151 0.6682
Cu 0.6832 0.1682 0.5849
Cu 0.3136 0.0849 0.6682
Cu 0.6014 0.3318 0.0849
La 0.2500 0.5000 0.5000
La 0.5000 0.0000 0.0000
Al 0.3750 0.7500 0.7500
Al 0.8750 0.2500 0.2500
Al 0.8750 0.2500 0.7500
Al 0.8750 0.7500 0.2500

Output
VASP energy in eV/cell: -103.26
M_tot in μB/cell: 0.00
Space group: I4_1/amd



Here are the calculated energy relative to the elements numbers, same order: -0.28 -2.35 (eV/f.u.).